An optimized crystal structure of In5Tc, computed with PBE.

POSCAR file:
```
In5Tc
1.0
1.761 5.347 -0.029
-1.761 5.347 -0.029
0.000 1.298 7.576
In Tc
5 1
direct
0.012 0.012 0.558 In
0.591 0.591 0.215 In
0.721 0.721 0.733 In
0.310 0.310 0.353 In
0.956 0.956 0.966 In
0.244 0.244 0.009 Tc
```

Results
For the calculated formation energy, the calculation gives 1.22 eV per formula unit. Its density of states at the Fermi level is 4.30 states/eV per cell. For the uncorrected energy, the calculation gives -3.81 eV per atom.